{
  "formula": "BeMoRh3",
  "functional": "PBE",
  "state": "optimized geometry",
  "cell": [[4.1055, 0.0000, 0.0000], [0.0000, 4.1055, 0.0000], [0.0000, 0.0000, 4.1055]],
  "species": ["Be", "Mo", "Rh", "Rh", "Rh"],
  "fractional_positions": [[0.0000, 0.0000, 0.0000], [0.5000, 0.5000, 0.5000], [0.0000, 0.5000, 0.0000], [0.0000, 0.0000, 0.5000], [0.5000, 0.0000, 0.0000]],
  "de_polymorph_ev_per_atom": 0.0000,
  "m_tot_mub_per_cell": 1.10,
  "e_form_ev_per_atom": 0.19
}